1.
This record from Alexandria describes crystalline KYIn2 at its relaxed geometry. The functional is PBE.

a b c (Å): 5.556 5.556 5.556
angles (deg): 60.00 60.00 60.00
Site moments in Bohr magnetons follow the coordinates.
Sites, in units of the cell vectors:
In: 0.000 0.000 0.000  0.01
In: 0.250 0.250 0.250  0.01
K: 0.500 0.500 0.500  0.01
Y: 0.750 0.750 0.750  0.12

space group	F-43m (216)
D(E_F)	1.30	states/eV/atom
E_form	0.1573	eV/atom
calculated total energy	-3.10	eV/atom
relative energy among the computed polymorphs	1.60	eV/f.u.
spin magnetization	0.34	Bohr magnetons per cell

***

2.
This record from Alexandria describes crystalline K2YIn at its relaxed geometry. The functional is PBE.

a b c (Å): 7.871 7.871 7.871
angles (deg): 152.41 128.87 59.08
Sites, in units of the cell vectors:
K: 0.746 0.246 0.500
K: 0.041 0.041 0.000
Y: 0.445 0.445 0.000
In: 0.268 0.768 0.500

space group	Imm2 (44)
D(E_F)	0.79	states/eV/atom
E_form	0.2254	eV/atom
calculated total energy	-2.62	eV/atom
spin magnetization	0.00	Bohr magnetons per cell

***

3.
This record from Alexandria describes crystalline K4YIn at its relaxed geometry. The functional is PBE.

a b c (Å): 7.319 7.319 7.319
angles (deg): 60.00 60.00 60.00
Sites, in units of the cell vectors:
Y: 0.750 0.750 0.750
K: 0.374 0.374 0.374
K: 0.879 0.374 0.374
K: 0.374 0.374 0.879
K: 0.374 0.879 0.374
In: 0.000 0.000 0.000

space group	F-43m (216)
D(E_F)	0.75	states/eV/atom
E_form	0.5006	eV/atom
calculated total energy	-1.76	eV/atom
spin magnetization	0.00	Bohr magnetons per cell

***

4.
This record from Alexandria describes crystalline KY2In2 at its relaxed geometry. The functional is PBE.

a b c (Å): 9.545 9.545 3.401
angles (deg): 90.00 90.00 90.00
Sites, in units of the cell vectors:
In: 0.172 0.672 0.500
In: 0.828 0.328 0.500
In: 0.672 0.828 0.500
In: 0.328 0.172 0.500
Y: 0.626 0.126 0.000
Y: 0.874 0.626 0.000
Y: 0.126 0.374 0.000
Y: 0.374 0.874 0.000
K: 0.500 0.500 0.000
K: 0.000 0.000 0.000

space group	P4/mbm (127)
D(E_F)	0.50	states/eV/atom
E_form	-0.2319	eV/atom
calculated total energy	-4.13	eV/atom
relative energy among the computed polymorphs	0.00	eV/f.u.
spin magnetization	0.00	Bohr magnetons per cell

***

- Which of these has the lowest D(E_F)?
  KY2In2